Record 1
# Y2InPb3 | the Alexandria database | PBE | relaxed
# M_tot ... 0.00 μB per formula unit
# E ... -4.88 eV per atom
data_Y2InPb3
_cell_length_a 4.574
_cell_length_b 15.608
_cell_length_c 4.693
_cell_angle_alpha 90.00
_cell_angle_beta 90.00
_cell_angle_gamma 90.00
_space_group_name_H-M_alt 'C m m m'
_space_group_IT_number 65
_space_group_name_Hall '-C 2 2'
loop_
_atom_site_label
_atom_site_type_symbol
_atom_site_fract_x
_atom_site_fract_y
_atom_site_fract_z
Y1 Y 0.000 0.149 0.000
In1 In 0.000 0.000 0.500
Pb1 Pb 0.000 0.326 0.500
Pb2 Pb 0.000 0.500 0.000

Record 2
# TbPmDy2Ho4 | the Alexandria database | PBE | relaxed
# M_tot ... 3.55 μB per formula unit
# E ... -4.17 eV per atom
data_TbPmDy2Ho4
_cell_length_a 13.554
_cell_length_b 13.243
_cell_length_c 6.780
_cell_angle_alpha 90.00
_cell_angle_beta 120.02
_cell_angle_gamma 90.00
_space_group_name_H-M_alt 'C 1 2/c 1'
_space_group_IT_number 15
loop_
_space_group_symop_operation_xyz
'x,y,z'
'-x,-y,-z'
'-x,y,-z+1/2'
'x,-y,z+1/2'
'x+1/2,y+1/2,z'
'-x+1/2,-y+1/2,-z'
'-x+1/2,y+1/2,-z+1/2'
'x+1/2,-y+1/2,z+1/2'
loop_
_atom_site_label
_atom_site_type_symbol
_atom_site_fract_x
_atom_site_fract_y
_atom_site_fract_z
Tb1 Tb 0.000 0.000 0.000
Pm1 Pm 0.250 0.250 0.000
Dy1 Dy 0.000 0.500 0.000
Dy2 Dy 0.250 0.250 0.500
Ho1 Ho 0.000 0.250 0.002
Ho2 Ho 0.250 0.001 0.501